5
Lattice="4.0243 0.0000 0.0000 0.0000 4.0243 0.0000 0.0000 0.0000 5.6090" Properties=species:S:1:pos:R:3 comment="GGA-PBEsol NaHfAgF2, relaxed" rho_g_cm3=6.3 dos_at_fermi_per_ev_fu=3.729 space_group=P4/mmm raw_formation_energy_ev_per_atom=-0.41 pbc="T T T"
Na 0.0000 0.0000 0.0000
Hf 0.0000 0.0000 2.8045
Ag 2.0121 2.0121 2.8045
F 0.0000 2.0121 0.0000
F 2.0121 0.0000 0.0000